! La2Cd2Sn | Alexandria | PBE-GGA | optimized geometry; values from VASP
&SYSTEM
  ibrav = 0, nat = 10, ntyp = 3
/
ATOMIC_SPECIES
La 138.91 La.upf
Cd 112.41 Cd.upf
Sn 118.71 Sn.upf
CELL_PARAMETERS angstrom
7.7186 0.0000 0.0000
0.0000 7.7186 0.0000
0.0000 0.0000 4.9421
ATOMIC_POSITIONS crystal
La 0.1723 0.3277 0.0000
La 0.3277 0.8277 0.0000
La 0.6723 0.1723 0.0000
La 0.8277 0.6723 0.0000
Cd 0.1291 0.6291 0.5000
Cd 0.3709 0.1291 0.5000
Cd 0.6291 0.8709 0.5000
Cd 0.8709 0.3709 0.5000
Sn 0.0000 0.0000 0.5000
Sn 0.5000 0.5000 0.5000
! - total moment (μB/f.u.) = 0.00
! - calculated formation energy (eV/atom) = -0.4316
! - crystal system = tetragonal
! - symmetry = P4/mbm
! - E_tot (eV per atom) = -3.57

! LaCd3Sn | Alexandria | PBE-GGA | optimized geometry; values from VASP
&SYSTEM
  ibrav = 0, nat = 5, ntyp = 3
/
ATOMIC_SPECIES
La 138.91 La.upf
Cd 112.41 Cd.upf
Sn 118.71 Sn.upf
CELL_PARAMETERS angstrom
5.9518 0.0000 0.0000
0.0000 5.9518 0.0000
0.0000 0.0000 5.9518
ATOMIC_POSITIONS crystal
La 0.0000 0.0000 0.0000
Cd 0.0000 0.0000 0.5000
Cd 0.0000 0.5000 0.0000
Cd 0.5000 0.0000 0.0000
Sn 0.5000 0.5000 0.5000
! - total moment (μB/f.u.) = 0.38
! - calculated formation energy (eV/atom) = 0.8212
! - crystal system = cubic
! - symmetry = Pm-3m
! - E_tot (eV per atom) = -1.51

! La2Cd3Sn | Alexandria | PBE-GGA | optimized geometry; values from VASP
&SYSTEM
  ibrav = 0, nat = 12, ntyp = 3
/
ATOMIC_SPECIES
La 138.91 La.upf
Cd 112.41 Cd.upf
Sn 118.71 Sn.upf
CELL_PARAMETERS angstrom
0.0000 5.0207 8.6828
3.8331 0.0000 8.6828
3.8331 5.0207 0.0000
ATOMIC_POSITIONS crystal
La 0.2450 0.7550 0.7550
La 0.2500 0.2500 0.2500
La 0.7500 0.7500 0.7500
La 0.7550 0.2450 0.2450
Cd 0.1652 0.1652 0.8348
Cd 0.1674 0.6684 0.3316
Cd 0.3316 0.8326 0.1674
Cd 0.6684 0.1674 0.8326
Cd 0.8326 0.3316 0.6684
Cd 0.8348 0.8348 0.1652
Sn 0.3342 0.3342 0.6658
Sn 0.6658 0.6658 0.3342
! - total moment (μB/f.u.) = 0.00
! - calculated formation energy (eV/atom) = -0.4898
! - crystal system = orthorhombic
! - symmetry = Fmmm
! - E_tot (eV per atom) = -3.26

! LaCd2Sn2 | Alexandria | PBE-GGA | optimized geometry; values from VASP
&SYSTEM
  ibrav = 0, nat = 10, ntyp = 3
/
ATOMIC_SPECIES
La 138.91 La.upf
Cd 112.41 Cd.upf
Sn 118.71 Sn.upf
CELL_PARAMETERS angstrom
8.6232 0.0000 0.0000
0.0000 8.6232 0.0000
0.0000 0.0000 3.6543
ATOMIC_POSITIONS crystal
La 0.0000 0.0000 0.0000
La 0.5000 0.5000 0.0000
Cd 0.1562 0.3438 0.5000
Cd 0.3438 0.8438 0.5000
Cd 0.6562 0.1562 0.5000
Cd 0.8438 0.6562 0.5000
Sn 0.1398 0.6398 0.0000
Sn 0.3602 0.1398 0.0000
Sn 0.6398 0.8602 0.0000
Sn 0.8602 0.3602 0.0000
! - total moment (μB/f.u.) = 0.00
! - calculated formation energy (eV/atom) = -0.2167
! - crystal system = tetragonal
! - symmetry = P4/mbm
! - E_tot (eV per atom) = -3.17

! La14CdSn | Alexandria | PBE-GGA | optimized geometry; values from VASP
&SYSTEM
  ibrav = 0, nat = 16, ntyp = 3
/
ATOMIC_SPECIES
La 138.91 La.upf
Cd 112.41 Cd.upf
Sn 118.71 Sn.upf
CELL_PARAMETERS angstrom
7.2521 0.0000 0.0000
0.0000 7.2521 0.0000
0.0000 0.0000 10.4757
ATOMIC_POSITIONS crystal
La 0.0000 0.0000 0.0000
La 0.0000 0.5000 0.0000
La 0.0000 0.5000 0.5000
La 0.2476 0.2476 0.2578
La 0.2476 0.2476 0.7422
La 0.2476 0.7524 0.2578
La 0.2476 0.7524 0.7422
La 0.5000 0.0000 0.0000
La 0.5000 0.0000 0.5000
La 0.5000 0.5000 0.0000
La 0.7524 0.2476 0.2578
La 0.7524 0.2476 0.7422
La 0.7524 0.7524 0.2578
La 0.7524 0.7524 0.7422
Cd 0.5000 0.5000 0.5000
Sn 0.0000 0.0000 0.5000
! - total moment (μB/f.u.) = 0.00
! - calculated formation energy (eV/atom) = -0.1384
! - crystal system = tetragonal
! - symmetry = P4/mmm
! - E_tot (eV per atom) = -4.76

! La8Cd2Sn | Alexandria | PBE-GGA | optimized geometry; values from VASP
&SYSTEM
  ibrav = 0, nat = 11, ntyp = 3
/
ATOMIC_SPECIES
La 138.91 La.upf
Cd 112.41 Cd.upf
Sn 118.71 Sn.upf
CELL_PARAMETERS angstrom
-2.6828 4.3464 7.8282
2.6828 -4.3464 7.8282
2.6828 4.3464 -7.8282
ATOMIC_POSITIONS crystal
La 0.1199 0.3439 0.7760
La 0.1335 0.1335 0.0000
La 0.3048 0.0000 0.3048
La 0.4320 0.6561 0.7760
La 0.5680 0.3439 0.2240
La 0.6952 0.0000 0.6952
La 0.8665 0.8665 0.0000
La 0.8801 0.6561 0.2240
Cd 0.3055 0.8055 0.5000
Cd 0.6945 0.1945 0.5000
Sn 0.0000 0.5000 0.5000
! - total moment (μB/f.u.) = 0.00
! - calculated formation energy (eV/atom) = -0.2283
! - crystal system = orthorhombic
! - symmetry = Immm
! - E_tot (eV per atom) = -4.34

! La6CdSn2 | Alexandria | PBE-GGA | optimized geometry; values from VASP
&SYSTEM
  ibrav = 0, nat = 9, ntyp = 3
/
ATOMIC_SPECIES
La 138.91 La.upf
Cd 112.41 Cd.upf
Sn 118.71 Sn.upf
CELL_PARAMETERS angstrom
9.5601 0.0000 0.0000
-4.7801 8.2793 0.0000
0.0000 0.0000 3.3551
ATOMIC_POSITIONS crystal
La 0.0000 0.3377 0.0000
La 0.0000 0.6623 0.0000
La 0.3377 0.0000 0.0000
La 0.3377 0.3377 0.0000
La 0.6623 0.0000 0.0000
La 0.6623 0.6623 0.0000
Cd 0.0000 0.0000 0.5000
Sn 0.3333 0.6667 0.5000
Sn 0.6667 0.3333 0.5000
! - total moment (μB/f.u.) = 0.00
! - calculated formation energy (eV/atom) = -0.2556
! - crystal system = hexagonal
! - symmetry = P6/mmm
! - E_tot (eV per atom) = -4.53

! La2Cd2Sn | Alexandria | PBE-GGA | optimized geometry; values from VASP
&SYSTEM
  ibrav = 0, nat = 5, ntyp = 3
/
ATOMIC_SPECIES
La 138.91 La.upf
Cd 112.41 Cd.upf
Sn 118.71 Sn.upf
CELL_PARAMETERS angstrom
-2.1106 2.1106 8.8598
2.1106 -2.1106 8.8598
2.1106 2.1106 -8.8598
ATOMIC_POSITIONS crystal
La 0.0893 0.0893 0.0000
La 0.9107 0.9107 0.0000
Cd 0.2500 0.7500 0.5000
Cd 0.7500 0.2500 0.5000
Sn 0.5000 0.5000 0.0000
! - total moment (μB/f.u.) = 0.00
! - calculated formation energy (eV/atom) = -0.2982
! - crystal system = tetragonal
! - symmetry = I4/mmm
! - E_tot (eV per atom) = -3.44